HPtS3 | PBE | relaxed

Cell and atoms, written as CIF:
```
data_HPtS3
_cell_length_a 4.027
_cell_length_b 4.027
_cell_length_c 4.027
_cell_angle_alpha 90.00
_cell_angle_beta 90.00
_cell_angle_gamma 90.00
_space_group_name_H-M_alt 'P m -3 m'
_space_group_IT_number 221
_space_group_name_Hall '-P 4 2 3'
loop_
_atom_site_label
_atom_site_fract_x
_atom_site_fract_y
_atom_site_fract_z
H1 0.000 0.000 0.000
Pt1 0.500 0.500 0.500
S1 0.000 0.000 0.500
```

Spin magnetization: 0.00 μB per formula unit
Relative energy among the computed polymorphs: 0.0 meV/atom
Energy: -16.122 eV for the cell shown
Calculated volume: 65.3 Å³ per cell